# W2CO

Crystalline W2CO at its relaxed geometry (PBE with a Hubbard U, Alexandria). Values from VASP.

Geometry as Quantum ESPRESSO input:
```
&SYSTEM
  ibrav = 0, nat = 4, ntyp = 3
/
ATOMIC_SPECIES
W 183.84 W.upf
O 16.00 O.upf
C 12.01 C.upf
CELL_PARAMETERS angstrom
3.020 0.000 0.000
0.000 3.027 0.000
0.000 0.000 5.097
ATOMIC_POSITIONS angstrom
W 0.000 0.000 2.626
O 1.510 1.514 1.694
C 0.000 1.514 4.253
W 1.510 0.000 5.018
```

Summary:
calculated volume	11.6	Å³ per atom
excess energy over the best structure of this formula in the dataset	0.21	eV per formula unit
total magnetic moment	0.307	μB/atom
calculated total energy	-6.88	eV per atom
Fermi-level density of states	0.32	states/eV/atom

***

# Y2WCO

Crystalline Y2WCO at its relaxed geometry (PBE with a Hubbard U, Alexandria). Values from VASP.

Geometry as Quantum ESPRESSO input:
```
&SYSTEM
  ibrav = 0, nat = 5, ntyp = 4
/
ATOMIC_SPECIES
Y 88.91 Y.upf
W 183.84 W.upf
O 16.00 O.upf
C 12.01 C.upf
CELL_PARAMETERS angstrom
4.995 0.000 0.000
0.000 4.017 0.000
0.000 0.000 4.995
ATOMIC_POSITIONS angstrom
Y 0.000 0.000 2.498
Y 2.498 0.000 0.000
W 0.000 2.008 0.000
O 2.498 2.008 2.498
C 0.000 0.000 0.000
```

Summary:
calculated volume	20.0	Å³ per atom
excess energy over the best structure of this formula in the dataset	0.00	eV per formula unit
total magnetic moment	0.525	μB/atom
calculated total energy	-6.85	eV per atom
Fermi-level density of states	0.66	states/eV/atom

***

# Y2WCO

Crystalline Y2WCO at its relaxed geometry (PBE with a Hubbard U, Alexandria). Values from VASP.

Geometry as Quantum ESPRESSO input:
```
&SYSTEM
  ibrav = 0, nat = 5, ntyp = 4
/
ATOMIC_SPECIES
Y 88.91 Y.upf
O 16.00 O.upf
C 12.01 C.upf
W 183.84 W.upf
CELL_PARAMETERS angstrom
5.530 0.000 0.000
0.000 3.810 0.000
0.000 0.000 5.530
ATOMIC_POSITIONS angstrom
Y 0.000 0.000 2.765
O 0.000 1.905 0.000
C 2.765 1.905 2.765
W 0.000 0.000 0.000
Y 2.765 0.000 0.000
```

Summary:
calculated volume	23.3	Å³ per atom
excess energy over the best structure of this formula in the dataset	4.65	eV per formula unit
total magnetic moment	0.111	μB/atom
calculated total energy	-5.92	eV per atom
Fermi-level density of states	0.49	states/eV/atom

***

Number 2 is which compound?
Y2WCO